(1)
Co2Ge2Os GGA-PBE optimized geometry; energy relative to the elements = 0.53 eV/atom; electronic total energy = -6.4057 eV/atom; D(E_F) = 4.27 states/eV/f.u.
1.0
3.557 0.000 0.000
0.000 3.557 0.000
1.779 1.779 5.366
Co Ge Os
2 2 1
Direct
0.396 0.396 0.208 Co
0.604 0.604 0.792 Co
0.750 0.250 0.500 Ge
0.250 0.750 0.500 Ge
0.000 0.000 0.000 Os

---

(2)
PaCoGeOs GGA-PBE optimized geometry; energy relative to the elements = -0.09 eV/atom; electronic total energy = -8.1981 eV/atom; D(E_F) = 4.65 states/eV/f.u.
1.0
-0.248 1.528 4.316
0.751 -2.871 3.496
3.814 0.397 2.514
Co Ge Pa Os
1 1 1 1
Direct
0.000 0.000 0.000 Co
0.750 0.750 0.750 Ge
0.250 0.250 0.250 Pa
0.500 0.500 0.500 Os

---

(3)
PaCoGeOs GGA-PBE optimized geometry; energy relative to the elements = -0.24 eV/atom; electronic total energy = -8.3554 eV/atom; D(E_F) = 3.34 states/eV/f.u.
1.0
-1.217 -3.570 1.698
-0.683 -3.303 -2.395
4.038 -3.635 0.289
Pa Co Ge Os
1 1 1 1
Direct
0.796 0.796 0.612 Pa
0.328 0.328 0.017 Co
0.591 0.591 0.227 Ge
0.012 0.012 0.965 Os

---

(4)
Pa2CoGeOs GGA-PBE optimized geometry; energy relative to the elements = -0.43 eV/atom; electronic total energy = -8.8165 eV/atom; D(E_F) = 6.09 states/eV/f.u.
1.0
4.074 0.000 0.000
0.000 7.087 0.326
0.000 -2.578 6.501
Pa Co Ge Os
4 2 2 2
Direct
0.750 0.876 0.635 Pa
0.750 0.715 0.053 Pa
0.250 0.124 0.365 Pa
0.250 0.285 0.947 Pa
0.250 0.898 0.902 Co
0.750 0.102 0.098 Co
0.250 0.556 0.683 Ge
0.750 0.444 0.317 Ge
0.250 0.699 0.339 Os
0.750 0.301 0.661 Os

---

(5)
Pa2Co3Ge4Os GGA-PBE optimized geometry; energy relative to the elements = -0.51 eV/atom; electronic total energy = -7.5069 eV/atom; D(E_F) = 9.83 states/eV/f.u.
1.0
4.113 0.000 0.000
0.000 4.113 0.000
0.000 0.000 9.587
Pa Co Ge Os
2 3 4 1
Direct
0.500 0.000 0.253 Pa
0.000 0.500 0.747 Pa
0.000 0.000 0.500 Co
0.500 0.000 0.878 Co
0.000 0.500 0.122 Co
0.500 0.500 0.000 Ge
0.000 0.000 0.000 Ge
0.500 0.000 0.639 Ge
0.000 0.500 0.361 Ge
0.500 0.500 0.500 Os

---

(6)
PmCoGe3Os GGA-PBE optimized geometry; energy relative to the elements = -0.15 eV/atom; electronic total energy = -6.3053 eV/atom; D(E_F) = 3.03 states/eV/f.u.
1.0
5.690 0.000 0.000
0.000 7.527 0.000
0.000 -3.764 5.554
Pm Co Ge Os
2 2 6 2
Direct
0.750 0.244 0.488 Pm
0.250 0.756 0.512 Pm
0.250 0.451 0.902 Co
0.750 0.549 0.098 Co
0.250 0.256 0.513 Ge
0.000 0.264 0.000 Ge
0.500 0.736 0.000 Ge
0.500 0.264 0.000 Ge
0.000 0.736 0.000 Ge
0.750 0.744 0.487 Ge
0.250 0.046 0.092 Os
0.750 0.954 0.908 Os

---

(7)
Pm2Co3Ge4Os GGA-PBE optimized geometry; energy relative to the elements = -0.52 eV/atom; electronic total energy = -6.5698 eV/atom; D(E_F) = 6.20 states/eV/f.u.
1.0
4.169 0.000 0.000
0.000 4.169 0.000
0.000 0.000 9.704
Pm Co Ge Os
2 3 4 1
Direct
0.500 0.000 0.246 Pm
0.000 0.500 0.754 Pm
0.000 0.000 0.500 Co
0.500 0.000 0.879 Co
0.000 0.500 0.121 Co
0.500 0.500 0.000 Ge
0.000 0.000 0.000 Ge
0.500 0.000 0.634 Ge
0.000 0.500 0.366 Ge
0.500 0.500 0.500 Os

---

(8)
PuCo2Ge4Os GGA-PBE optimized geometry; energy relative to the elements = -0.15 eV/atom; electronic total energy = -7.4275 eV/atom; D(E_F) = 9.35 states/eV/f.u.
1.0
4.078 0.000 0.000
2.039 3.532 0.000
2.039 1.177 8.806
Pu Co Ge Os
1 2 4 1
Direct
0.000 0.000 0.000 Pu
0.769 0.769 0.692 Co
0.231 0.231 0.308 Co
0.399 0.399 0.804 Ge
0.873 0.873 0.381 Ge
0.127 0.127 0.619 Ge
0.601 0.601 0.196 Ge
0.500 0.500 0.500 Os

---

(9)
Pu2CoGe6Os GGA-PBE optimized geometry; energy relative to the elements = -0.16 eV/atom; electronic total energy = -7.6285 eV/atom; D(E_F) = 13.92 states/eV/f.u.
1.0
6.029 0.000 0.000
3.015 5.221 0.000
3.015 1.740 12.330
Pu Co Ge Os
4 2 12 2
Direct
0.876 0.876 0.373 Pu
0.124 0.124 0.627 Pu
0.720 0.720 0.839 Pu
0.280 0.280 0.161 Pu
0.000 0.000 0.000 Co
0.500 0.500 0.500 Co
0.921 0.343 0.393 Ge
0.343 0.921 0.393 Ge
0.343 0.343 0.393 Ge
0.079 0.657 0.607 Ge
0.657 0.079 0.607 Ge
0.657 0.657 0.607 Ge
0.759 0.194 0.852 Ge
0.194 0.759 0.852 Ge
0.194 0.194 0.852 Ge
0.241 0.806 0.148 Ge
0.806 0.241 0.148 Ge
0.806 0.806 0.148 Ge
0.576 0.576 0.272 Os
0.424 0.424 0.728 Os

---

(10)
PuCoGe2Os GGA-PBE optimized geometry; energy relative to the elements = -0.31 eV/atom; electronic total energy = -8.6908 eV/atom; D(E_F) = 12.70 states/eV/f.u.
1.0
4.089 0.000 0.000
0.000 4.089 0.000
-2.044 -2.044 5.165
Pu Co Ge Os
1 1 2 1
Direct
0.000 0.000 0.000 Pu
0.750 0.250 0.500 Co
0.626 0.626 0.252 Ge
0.374 0.374 0.748 Ge
0.250 0.750 0.500 Os

---

(11)
CoGeOs2Rh GGA-PBE optimized geometry; energy relative to the elements = 1.41 eV/atom; electronic total energy = -6.8965 eV/atom; D(E_F) = 7.12 states/eV/f.u.
1.0
-1.225 0.643 4.182
-3.051 -2.948 -0.441
2.824 -3.118 1.307
Rh Ge Os Co
1 1 2 1
Direct
0.500 0.500 0.500 Rh
0.000 0.500 0.000 Ge
0.000 0.000 0.500 Os
0.500 0.000 0.000 Os
0.000 0.000 0.000 Co

---

(12)
CoSiGeOs2 GGA-PBE optimized geometry; electronic total energy = -6.0116 eV/atom; uncorrected formation energy = 921 kJ/mol of formula units; D(E_F) = 7.13 states/eV/f.u.
1.0
4.533 0.000 0.000
0.000 4.536 0.000
0.000 0.000 4.533
Co Ge Os Si
1 1 2 1
Direct
0.500 0.500 0.500 Co
0.000 0.000 0.000 Ge
0.000 0.000 0.500 Os
0.500 0.000 0.000 Os
0.000 0.500 0.000 Si

---

(13)
SmCoGe2Os GGA-PBE optimized geometry; energy relative to the elements = -0.49 eV/atom; electronic total energy = -6.9518 eV/atom; D(E_F) = 3.00 states/eV/f.u.
1.0
4.133 0.000 0.000
0.000 4.133 0.000
-2.066 -2.066 5.120
Sm Co Ge Os
1 1 2 1
Direct
0.000 0.000 0.000 Sm
0.250 0.750 0.500 Co
0.628 0.628 0.256 Ge
0.372 0.372 0.744 Ge
0.750 0.250 0.500 Os

---

(14)
CoSnGe2Os GGA-PBE optimized geometry; energy relative to the elements = 2.02 eV/atom; electronic total energy = -4.2899 eV/atom; D(E_F) = 8.70 states/eV/f.u.
1.0
5.148 0.000 0.000
0.000 4.975 0.000
0.000 0.000 5.148
Co Ge Os Sn
1 2 1 1
Direct
0.500 0.500 0.500 Co
0.000 0.000 0.500 Ge
0.500 0.000 0.000 Ge
0.000 0.500 0.000 Os
0.000 0.000 0.000 Sn

---

(15)
Co2SnGeOs GGA-PBE optimized geometry; energy relative to the elements = 0.96 eV/atom; electronic total energy = -5.8494 eV/atom; D(E_F) = 7.89 states/eV/f.u.
1.0
4.692 0.000 0.000
0.000 4.655 0.000
0.000 0.000 4.692
Co Ge Os Sn
2 1 1 1
Direct
0.000 0.000 0.500 Co
0.500 0.000 0.000 Co
0.000 0.500 0.000 Ge
0.000 0.000 0.000 Os
0.500 0.500 0.500 Sn

---

(16)
SrCoGe2Os GGA-PBE optimized geometry; energy relative to the elements = 0.43 eV/atom; electronic total energy = -5.4238 eV/atom; D(E_F) = 4.74 states/eV/f.u.
1.0
4.533 0.000 0.000
0.000 4.924 0.000
0.000 0.000 4.533
Sr Ge Os Co
1 2 1 1
Direct
0.500 0.500 0.500 Sr
0.000 0.000 0.500 Ge
0.500 0.000 0.000 Ge
0.000 0.500 0.000 Os
0.000 0.000 0.000 Co

---

(17)
TaCoGeOs2 GGA-PBE optimized geometry; energy relative to the elements = 1.92 eV/atom; electronic total energy = -7.2844 eV/atom; D(E_F) = 6.12 states/eV/f.u.
1.0
4.795 0.000 0.000
0.000 4.513 0.000
0.000 0.000 4.795
Co Ge Os Ta
1 1 2 1
Direct
0.000 0.500 0.000 Co
0.500 0.500 0.500 Ge
0.000 0.000 0.500 Os
0.500 0.000 0.000 Os
0.000 0.000 0.000 Ta

---

(18)
TbCoGe2Os GGA-PBE optimized geometry; energy relative to the elements = -0.49 eV/atom; electronic total energy = -6.9342 eV/atom; D(E_F) = 2.78 states/eV/f.u.
1.0
4.110 0.000 0.000
0.000 4.110 0.000
-2.055 -2.055 5.073
Tb Co Ge Os
1 1 2 1
Direct
0.000 0.000 0.000 Tb
0.750 0.250 0.500 Co
0.626 0.626 0.253 Ge
0.374 0.374 0.747 Ge
0.250 0.750 0.500 Os

---

(19)
Th2Co4Ge3Os GGA-PBE optimized geometry; energy relative to the elements = -0.49 eV/atom; electronic total energy = -7.3207 eV/atom; D(E_F) = 8.81 states/eV/f.u.
1.0
4.133 0.000 0.000
0.000 4.133 0.000
0.000 0.000 9.714
Th Co Ge Os
2 4 3 1
Direct
0.500 0.000 0.240 Th
0.000 0.500 0.760 Th
0.500 0.500 0.000 Co
0.000 0.000 0.000 Co
0.500 0.000 0.623 Co
0.000 0.500 0.377 Co
0.000 0.000 0.500 Ge
0.500 0.000 0.873 Ge
0.000 0.500 0.127 Ge
0.500 0.500 0.500 Os

---

(20)
TmCoGe3Os GGA-PBE optimized geometry; energy relative to the elements = -0.09 eV/atom; electronic total energy = -6.1987 eV/atom; D(E_F) = 2.65 states/eV/f.u.
1.0
-1.298 -0.784 -5.186
-5.533 -4.566 2.075
-1.055 7.023 -0.798
Tm Co Ge Os
2 2 6 2
Direct
0.750 0.320 0.640 Tm
0.250 0.680 0.360 Tm
0.250 0.056 0.112 Co
0.750 0.944 0.888 Co
0.250 0.233 0.466 Ge
0.000 0.240 0.000 Ge
0.500 0.760 0.000 Ge
0.500 0.240 0.000 Ge
0.000 0.760 0.000 Ge
0.750 0.767 0.534 Ge
0.250 0.424 0.849 Os
0.750 0.576 0.151 Os

---

(21)
UCo2Ge2Os GGA-PBE optimized geometry; energy relative to the elements = -0.19 eV/atom; electronic total energy = -7.8556 eV/atom; D(E_F) = 6.28 states/eV/f.u.
1.0
4.130 0.000 0.000
-2.065 3.577 0.000
0.000 0.000 6.047
U Co Ge Os
1 2 2 1
Direct
0.000 0.000 0.500 U
0.333 0.667 0.768 Co
0.667 0.333 0.232 Co
0.333 0.667 0.191 Ge
0.667 0.333 0.809 Ge
0.000 0.000 0.000 Os

---

(22)
YCo2GeOs GGA-PBE optimized geometry; energy relative to the elements = 2.14 eV/atom; electronic total energy = -5.1621 eV/atom; D(E_F) = 6.46 states/eV/f.u.
1.0
-1.770 -4.091 -0.506
1.818 -0.200 -4.747
3.798 -1.833 1.532
Y Co Ge Os
1 2 1 1
Direct
0.000 0.000 0.000 Y
0.000 0.000 0.500 Co
0.500 0.000 0.000 Co
0.000 0.500 0.000 Ge
0.500 0.500 0.500 Os

---

(23)
YCoGe2Os GGA-PBE optimized geometry; energy relative to the elements = -0.49 eV/atom; electronic total energy = -7.2993 eV/atom; D(E_F) = 2.69 states/eV/f.u.
1.0
-0.848 -3.276 2.332
2.355 -2.336 -2.426
3.265 3.837 2.957
Y Co Ge Os
1 1 2 1
Direct
0.000 0.000 0.000 Y
0.750 0.250 0.500 Co
0.626 0.626 0.253 Ge
0.374 0.374 0.747 Ge
0.250 0.750 0.500 Os

---

(24)
YCoGe3Os GGA-PBE optimized geometry; energy relative to the elements = -0.12 eV/atom; electronic total energy = -6.5648 eV/atom; D(E_F) = 2.55 states/eV/f.u.
1.0
5.473 0.000 0.000
0.000 7.464 0.000
0.000 -3.732 5.998
Y Co Ge Os
2 2 6 2
Direct
0.750 0.308 0.615 Y
0.250 0.692 0.385 Y
0.250 0.051 0.103 Co
0.750 0.949 0.897 Co
0.250 0.231 0.462 Ge
0.000 0.242 0.000 Ge
0.500 0.758 0.000 Ge
0.500 0.242 0.000 Ge
0.000 0.758 0.000 Ge
0.750 0.769 0.538 Ge
0.250 0.425 0.849 Os
0.750 0.575 0.151 Os

---

(25)
CoGeP2 GGA-PBE optimized geometry; energy relative to the elements = 0.53 eV/atom; electronic total energy = -5.1106 eV/atom; D(E_F) = 4.69 states/eV/f.u.
1.0
3.357 0.000 0.000
1.679 2.908 0.000
1.679 0.969 7.311
P Ge Co
2 1 1
Direct
0.097 0.097 0.708 P
0.903 0.903 0.292 P
0.500 0.500 0.500 Ge
0.000 0.000 0.000 Co

---

(26)
CoGeP3 GGA-PBE optimized geometry; energy relative to the elements = 0.60 eV/atom; electronic total energy = -4.9945 eV/atom; D(E_F) = 4.35 states/eV/f.u.
1.0
4.385 0.000 0.000
0.000 4.385 0.000
0.000 0.000 4.385
P Ge Co
3 1 1
Direct
0.000 0.500 0.000 P
0.000 0.000 0.500 P
0.500 0.000 0.000 P
0.500 0.500 0.500 Ge
0.000 0.000 0.000 Co

---

no.,theoretical density (g/cm3)
1,11.09
2,13.47
3,12.67
4,13.62
5,11.46
6,8.55
7,9.33
8,11.03
9,10.04
10,12.28
11,12.34
12,9.62
13,10.35
14,6.46
15,8.09
16,7.91
17,11.09
18,10.72
19,11.09
20,8.59
21,12.85
22,7.62
23,9.38
24,7.54
25,4.50
26,4.42